[1]
A geometry-optimized V2BW structure. Source: the Alexandria database, functional PBE.

Geometry as extended XYZ:
```
16
Lattice="3.151 0.000 0.000 0.000 19.044 0.000 0.000 0.000 3.289" Properties=species:S:1:pos:R:3 pbc="T T T"
V 0.000 0.856 0.822
V 0.000 4.754 2.466
V 0.000 14.291 0.822
V 0.000 18.189 2.466
V 1.575 4.769 0.822
V 1.575 8.667 2.466
V 1.575 10.378 0.822
V 1.575 14.276 2.466
B 0.000 3.093 0.822
B 0.000 15.951 2.466
B 1.575 6.429 2.466
B 1.575 12.615 0.822
W 0.000 7.152 0.822
W 0.000 11.892 2.466
W 1.575 2.370 2.466
W 1.575 16.674 0.822
```

Computed properties:
energy relative to the elements	-0.25	eV per formula unit
E	-9.53	eV per atom
crystal system	orthorhombic

***

[2]
A geometry-optimized YSbRu2 structure. Source: the Alexandria database, functional PBE.

Geometry as extended XYZ:
```
12
Lattice="3.348 0.000 0.000 -1.674 2.899 0.000 0.000 0.000 24.418" Properties=species:S:1:pos:R:3 pbc="T T T"
Y 0.000 0.000 0.000
Y 0.000 1.933 16.279
Y 1.674 0.966 8.139
Sb 0.000 0.000 12.209
Sb 0.000 1.933 4.070
Sb 1.674 0.966 20.348
Ru 0.000 0.000 5.927
Ru 0.000 0.000 18.491
Ru 0.000 1.933 10.352
Ru 0.000 1.933 22.206
Ru 1.674 0.966 2.212
Ru 1.674 0.966 14.066
```

Computed properties:
E	-7.14	eV per atom
uncorrected formation energy	146	meV/atom
crystal system	trigonal

***

[3]
A geometry-optimized AcY2Pd structure. Source: the Alexandria database, functional PBE.

Geometry as extended XYZ:
```
12
Lattice="4.046 0.000 0.000 -2.023 3.504 0.000 0.000 0.000 27.988" Properties=species:S:1:pos:R:3 pbc="T T T"
Ac 0.000 0.000 0.000
Ac 0.000 2.336 18.659
Ac 2.023 1.168 9.329
Y 0.000 0.000 15.531
Y 0.000 0.000 21.670
Y 0.000 2.336 6.201
Y 0.000 2.336 12.341
Y 2.023 1.168 3.011
Y 2.023 1.168 24.860
Pd 0.000 0.000 4.589
Pd 0.000 2.336 23.248
Pd 2.023 1.168 13.919
```

Computed properties:
energy relative to the elements	-1.30	eV per formula unit
E	-5.88	eV per atom
crystal system	trigonal

***

[4]
A geometry-optimized PrZn3PdRh structure. Source: the Alexandria database, functional PBE.

Geometry as extended XYZ:
```
12
Lattice="3.176 -6.466 0.000 3.176 6.466 0.000 0.000 0.000 5.470" Properties=species:S:1:pos:R:3 pbc="T T T"
Pr 3.176 3.539 4.103
Pr 3.176 -3.539 1.368
Zn 1.258 0.000 0.000
Zn 1.258 0.000 2.735
Zn 3.176 1.799 1.368
Zn 3.176 -1.799 4.103
Zn 5.094 0.000 0.000
Zn 5.094 0.000 2.735
Pd 3.176 4.504 1.368
Pd 3.176 -4.504 4.103
Rh 3.176 0.875 4.103
Rh 3.176 -0.875 1.368
```

Computed properties:
energy relative to the elements	-2.55	eV per formula unit
E	-3.95	eV per atom
crystal system	orthorhombic

***

[5]
A geometry-optimized Ca2CuBr structure. Source: the Alexandria database, functional PBE.

Geometry as extended XYZ:
```
8
Lattice="3.741 0.000 0.000 0.000 3.841 0.000 0.000 0.000 15.883" Properties=species:S:1:pos:R:3 pbc="T T T"
Ca 0.000 0.000 0.000
Ca 0.000 1.920 4.513
Ca 1.870 0.000 12.454
Ca 1.870 1.920 7.942
Cu 0.000 1.920 13.709
Cu 1.870 0.000 5.767
Br 0.000 0.000 9.703
Br 1.870 1.920 1.762
```

Computed properties:
E	-3.06	eV per atom
uncorrected formation energy	-620	meV/atom
crystal system	orthorhombic

***

[6]
A geometry-optimized Rb4Cd2Hg structure. Source: the Alexandria database, functional PBE.

Geometry as extended XYZ:
```
14
Lattice="15.933 0.000 0.000 0.000 6.385 0.000 -3.441 0.000 7.215" Properties=species:S:1:pos:R:3 pbc="T T T"
Rb 0.003 0.000 2.110
Rb 0.045 3.192 5.625
Rb 4.480 0.000 1.590
Rb 4.523 3.192 5.105
Rb 7.969 3.192 2.110
Rb 8.012 0.000 5.625
Rb 12.447 3.192 1.590
Rb 12.489 0.000 5.105
Cd 2.107 3.192 2.150
Cd 2.419 0.000 5.065
Cd 10.073 0.000 2.150
Cd 10.386 3.192 5.065
Hg 0.000 3.192 0.000
Hg 7.967 0.000 0.000
```

Computed properties:
energy relative to the elements	-0.43	eV per formula unit
E	-0.92	eV per atom
crystal system	monoclinic

***

[7]
A geometry-optimized SrZnAs2 structure. Source: the Alexandria database, functional PBE.

Geometry as extended XYZ:
```
4
Lattice="4.549 0.000 0.000 0.000 4.771 0.000 -0.175 0.000 4.953" Properties=species:S:1:pos:R:3 pbc="T T T"
Sr 0.000 0.000 0.000
Zn 2.437 2.386 1.801
As 2.070 2.386 4.349
As 2.144 0.000 2.629
```

Computed properties:
energy relative to the elements	-1.74	eV per formula unit
E	-3.50	eV per atom
crystal system	monoclinic

***

Q: Which formula does entry 4 have?
A: PrZn3PdRh

***

Q: Which value of E does entry 5 give?
A: -3.06 eV per atom

***

Q: Look up the E of the third one.
A: -5.88 eV per atom